12
Lattice="4.745 0.000 0.000 0.000 7.317 0.000 -0.074 0.000 5.383" Properties=species:S:1:pos:R:3 comment="Na2VPbF8 (GGA+U, relaxed)" total_magnetization_mub_per_fu=1.0 dft_energy_ev_per_atom=-5.05 pbc="T T T"
Na 0.000 1.811 0.000
Na 0.000 5.506 0.000
V 2.336 3.658 2.692
Pb 2.336 0.000 2.692
F 0.518 0.000 4.163
F 0.947 3.658 3.896
F 1.545 2.264 1.647
F 1.545 5.053 1.647
F 3.127 2.264 3.737
F 3.127 5.053 3.737
F 3.725 3.658 1.487
F 4.154 0.000 1.221


18
Lattice="6.183 0.000 0.000 -3.091 5.354 0.000 0.000 0.000 9.034" Properties=species:S:1:pos:R:3 comment="NaPbWF6 (GGA+U, relaxed)" total_magnetization_mub_per_fu=3.0 dft_energy_ev_per_atom=-5.15 pbc="T T T"
Na 0.000 0.000 0.000
Na 0.000 0.000 4.517
Pb 0.000 3.570 2.258
Pb 3.091 1.785 6.775
W 0.000 3.570 6.775
W 3.091 1.785 2.258
F -0.871 1.969 5.674
F -1.821 3.616 7.877
F 0.871 1.969 7.877
F -0.951 5.124 5.674
F 2.141 0.230 1.157
F 1.270 1.739 3.360
F 1.821 3.616 5.674
F 0.951 5.124 7.877
F 4.042 0.230 3.360
F 2.221 3.385 1.157
F 4.913 1.739 1.157
F 3.962 3.385 3.360


- Number 2 is which compound?
  NaPbWF6


Please write out number 1 again, unchanged.
12
Lattice="4.745 0.000 0.000 0.000 7.317 0.000 -0.074 0.000 5.383" Properties=species:S:1:pos:R:3 comment="Na2VPbF8 (GGA+U, relaxed)" total_magnetization_mub_per_fu=1.0 dft_energy_ev_per_atom=-5.05 pbc="T T T"
Na 0.000 1.811 0.000
Na 0.000 5.506 0.000
V 2.336 3.658 2.692
Pb 2.336 0.000 2.692
F 0.518 0.000 4.163
F 0.947 3.658 3.896
F 1.545 2.264 1.647
F 1.545 5.053 1.647
F 3.127 2.264 3.737
F 3.127 5.053 3.737
F 3.725 3.658 1.487
F 4.154 0.000 1.221